Entry 1:
Compound: LaNd3Ho2Tm6
Source: Alexandria
Functional: GGA-PBE
Structure: relaxed

Cell lengths 6.1836, 6.1836, 11.7349 Å; angles 95.03, 95.03, 119.98 degrees
Closest atoms and distances in Å follow each position.
Fractional positions:
La 0.0000 0.0000 0.0000  6 Tm 3.54, 6 Ho 3.57
Nd 0.1669 0.8331 0.5000  6 Tm 3.55-3.56, 6 Nd 3.57-3.58
Nd 0.5000 0.5000 0.5000  6 Tm 3.55-3.56, 6 Nd 3.57
Nd 0.8331 0.1669 0.5000  6 Tm 3.55-3.56, 6 Nd 3.57-3.58
Ho 0.3332 0.6668 0.0000  6 Tm 3.53-3.54, 3 La 3.57, 3 Ho 3.57
Ho 0.6668 0.3332 0.0000  6 Tm 3.53-3.54, 3 La 3.57, 3 Ho 3.57
Tm 0.0833 0.4179 0.2488  2 Ho 3.53-3.54, 1 La 3.54, 3 Nd 3.55-3.56, 6 Tm 3.56-3.58
Tm 0.2514 0.2514 0.7511  2 Ho 3.54, 1 La 3.54, 3 Nd 3.55-3.56, 6 Tm 3.56-3.58
Tm 0.4179 0.0833 0.2488  2 Ho 3.53-3.54, 1 La 3.54, 3 Nd 3.55-3.56, 6 Tm 3.56-3.58
Tm 0.5821 0.9167 0.7512  2 Ho 3.53-3.54, 1 La 3.54, 3 Nd 3.55-3.56, 6 Tm 3.56-3.58
Tm 0.7486 0.7486 0.2489  2 Ho 3.54, 1 La 3.54, 3 Nd 3.55-3.56, 6 Tm 3.56-3.58
Tm 0.9167 0.5821 0.7512  2 Ho 3.53-3.54, 1 La 3.54, 3 Nd 3.55-3.56, 6 Tm 3.56-3.58

Results
Space group ... C2/m (12)
ΔH_f (0 K) ... 0.0225 eV per atom
VASP energy ... -54.95 eV/cell
Magnetic moment ... 0.00 μB/cell

---

Entry 2:
Compound: HfPd3S
Source: Alexandria
Functional: GGA-PBE
Structure: relaxed

Cell lengths 4.4980, 4.4980, 4.4980 Å; angles 90.00, 90.00, 90.00 degrees
Closest atoms and distances in Å follow each position.
Fractional positions:
Hf 0.0000 0.0000 0.0000  12 Pd 3.18
Pd 0.0000 0.5000 0.5000  2 S 2.25
Pd 0.5000 0.0000 0.5000  2 S 2.25
Pd 0.5000 0.5000 0.0000  2 S 2.25
S 0.5000 0.5000 0.5000  6 Pd 2.25

Results
Space group ... Pm-3m (221)
VASP energy ... -29.95 eV/cell
Energy relative to the elements, uncorrected ... -1.3 kcal/mol of atoms
Magnetic moment ... 0.00 μB/cell

---

Entry 3:
Compound: P2RhPb
Source: Alexandria
Functional: GGA-PBE
Structure: relaxed

Cell lengths 4.3171, 3.9051, 4.8811 Å; angles 90.00, 102.54, 90.00 degrees
Closest atoms and distances in Å follow each position.
Fractional positions:
P 0.2445 0.0000 0.1185  1 P 2.18, 2 Rh 2.37
P 0.7555 0.0000 0.8815  1 P 2.18, 2 Rh 2.37
Rh 0.5000 0.5000 0.0000  4 P 2.37
Pb 0.0000 0.5000 0.5000  2 Rh 2.89, 4 P 3.04

Results
Space group ... P2/m (10)
ΔH_f (0 K) ... -0.2223 eV per atom
VASP energy ... -22.77 eV/cell
Magnetic moment ... 0.00 μB/cell

---

Entry 4:
Compound: SiAu
Source: Alexandria
Functional: GGA-PBE
Structure: relaxed

Cell lengths 6.4427, 6.9131, 8.2207 Å; angles 90.00, 90.00, 90.00 degrees
Closest atoms and distances in Å follow each position.
Fractional positions:
Si 0.0927 0.0913 0.4305  4 Au 2.45-2.67, 2 Si 2.50-2.74
Si 0.1926 0.6357 0.8250  4 Au 2.44-2.58, 1 Si 2.50
Si 0.3074 0.3643 0.3250  4 Au 2.44-2.58, 1 Si 2.50
Si 0.4073 0.9087 0.9305  4 Au 2.45-2.67, 2 Si 2.50-2.74
Si 0.5927 0.4087 0.5695  4 Au 2.45-2.67, 2 Si 2.50-2.74
Si 0.6926 0.8643 0.1750  4 Au 2.44-2.58, 1 Si 2.50
Si 0.8074 0.1357 0.6750  4 Au 2.44-2.58, 1 Si 2.50
Si 0.9073 0.5913 0.0695  4 Au 2.45-2.67, 2 Si 2.50-2.74
Au 0.1599 0.9608 0.7042  4 Si 2.46-2.58
Au 0.2198 0.3778 0.6242  4 Si 2.44-2.67
Au 0.2802 0.6222 0.1242  4 Si 2.44-2.67
Au 0.3401 0.0392 0.2042  4 Si 2.46-2.58
Au 0.6599 0.5392 0.2958  4 Si 2.46-2.58
Au 0.7198 0.1222 0.3758  4 Si 2.44-2.67
Au 0.7802 0.8778 0.8758  4 Si 2.44-2.67
Au 0.8401 0.4608 0.7958  4 Si 2.46-2.58

Results
Space group ... P2_12_12_1 (19)
VASP energy ... -67.22 eV/cell
Energy relative to the elements, uncorrected ... 3.4 kcal/mol of atoms
Magnetic moment ... 0.00 μB/cell

---

Entry 5:
Compound: Zr2OsPt
Source: Alexandria
Functional: GGA-PBE
Structure: relaxed

Cell lengths 4.6472, 4.6472, 4.6472 Å; angles 60.00, 60.00, 60.00 degrees
Closest atoms and distances in Å follow each position.
Fractional positions:
Zr 0.0000 0.0000 0.0000  4 Pt 2.85, 4 Zr 2.85
Zr 0.2500 0.2500 0.2500  4 Zr 2.85, 4 Os 2.85
Os 0.5000 0.5000 0.5000  4 Zr 2.85, 4 Pt 2.85
Pt 0.7500 0.7500 0.7500  4 Zr 2.85, 4 Os 2.85

Results
Space group ... F-43m (216)
ΔH_f (0 K) ... -0.2907 eV per atom
VASP energy ... -35.53 eV/cell
Magnetic moment ... 0.00 μB/cell

---

Entry 6:
Compound: VGaMo
Source: Alexandria
Functional: GGA-PBE
Structure: relaxed

Cell lengths 4.3525, 4.3525, 2.6958 Å; angles 90.00, 90.00, 120.00 degrees
Closest atoms and distances in Å follow each position.
Fractional positions:
V 0.0000 0.0000 0.0000  3 Mo 2.62, 3 Ga 2.68, 2 V 2.70
Ga 0.3333 0.6667 0.3414  3 V 2.68, 2 Ga 2.70, 3 Mo 2.72
Mo 0.6667 0.3333 0.7314  3 V 2.62, 2 Mo 2.70, 3 Ga 2.72

Results
Space group ... P3m1 (156)
ΔH_f (0 K) ... -0.1269 eV per atom
VASP energy ... -23.36 eV/cell
Magnetic moment ... 0.00 μB/cell

---

Entry 7:
Compound: Cd2SnB2Rh5
Source: Alexandria
Functional: GGA-PBE
Structure: relaxed

Cell lengths 9.8225, 9.8225, 2.9625 Å; angles 90.00, 90.00, 90.00 degrees
Closest atoms and distances in Å follow each position.
Fractional positions:
Cd 0.1772 0.3228 0.0000  3 B 2.79-2.99, 10 Rh 2.87-3.01, 2 Cd 2.96
Cd 0.3228 0.8228 0.0000  3 B 2.79-2.99, 10 Rh 2.87-3.01, 2 Cd 2.96
Cd 0.6772 0.1772 0.0000  3 B 2.79-2.99, 10 Rh 2.87-3.01, 2 Cd 2.96
Cd 0.8228 0.6772 0.0000  3 B 2.79-2.99, 10 Rh 2.87-3.01, 2 Cd 2.96
Sn 0.0000 0.0000 0.0000  8 Rh 2.75, 2 Sn 2.96
Sn 0.5000 0.5000 0.0000  8 Rh 2.75, 2 Sn 2.96
B 0.1220 0.6220 0.0000  6 Rh 2.17-2.25
B 0.3780 0.1220 0.0000  6 Rh 2.17-2.25
B 0.6220 0.8780 0.0000  6 Rh 2.17-2.25
B 0.8780 0.3780 0.0000  6 Rh 2.17-2.25
Rh 0.0000 0.5000 0.5000  4 B 2.25
Rh 0.0704 0.7755 0.5000  2 B 2.17
Rh 0.2245 0.0704 0.5000  2 B 2.17
Rh 0.2755 0.5704 0.5000  2 B 2.17
Rh 0.4296 0.2755 0.5000  2 B 2.17
Rh 0.5000 0.0000 0.5000  4 B 2.25
Rh 0.5704 0.7245 0.5000  2 B 2.17
Rh 0.7245 0.4296 0.5000  2 B 2.17
Rh 0.7755 0.9296 0.5000  2 B 2.17
Rh 0.9296 0.2245 0.5000  2 B 2.17

Results
Space group ... P4/mbm (127)
ΔH_f (0 K) ... -0.3622 eV per atom
VASP energy ... -119.13 eV/cell
Magnetic moment ... 0.00 μB/cell

---

Entry 8:
Compound: ReMo3
Source: Alexandria
Functional: GGA-PBE
Structure: relaxed

Cell lengths 8.5896, 8.5896, 8.5896 Å; angles 153.46, 153.46, 37.88 degrees
Closest atoms and distances in Å follow each position.
Fractional positions:
Re 0.1270 0.1270 0.0000  12 Mo 2.79-2.85
Re 0.8730 0.8730 0.0000  12 Mo 2.79-2.85
Mo 0.0000 0.5000 0.5000  8 Mo 2.79-2.81, 4 Re 2.85
Mo 0.2500 0.7500 0.5000  8 Mo 2.79-2.85, 4 Re 2.81
Mo 0.3767 0.3767 0.0000  4 Re 2.79, 8 Mo 2.81-2.85
Mo 0.5000 0.0000 0.5000  8 Mo 2.79-2.81, 4 Re 2.85
Mo 0.6232 0.6232 0.0000  4 Re 2.79, 8 Mo 2.81-2.85
Mo 0.7500 0.2500 0.5000  8 Mo 2.79-2.85, 4 Re 2.81

Results
Space group ... I4/mmm (139)
ΔH_f (0 K) ... 0.2858 eV per atom
VASP energy ... -87.60 eV/cell
Magnetic moment ... 0.00 μB/cell

---

Entry 9:
Compound: CuBiCl2F
Source: Alexandria
Functional: GGA-PBE
Structure: relaxed

Cell lengths 5.1566, 5.1566, 3.7781 Å; angles 90.00, 90.00, 90.00 degrees
Closest atoms and distances in Å follow each position.
Fractional positions:
Cu 0.0000 0.0000 0.0000  2 F 1.89
Bi 0.5000 0.5000 0.5000  8 Cl 3.20
Cl 0.0000 0.5000 0.0000  2 Cu 2.58
Cl 0.5000 0.0000 0.0000  2 Cu 2.58
F 0.0000 0.0000 0.5000  2 Cu 1.89

Results
Space group ... P4/mmm (123)
VASP energy ... -16.73 eV/cell
Energy relative to the elements, uncorrected ... -14.7 kcal/mol of atoms
Magnetic moment ... 0.65 μB/cell

---

Entry 10:
Compound: YCl5
Source: Alexandria
Functional: GGA-PBE
Structure: relaxed

Cell lengths 5.7191, 5.7191, 5.7191 Å; angles 60.00, 60.00, 60.00 degrees
Closest atoms and distances in Å follow each position.
Fractional positions:
Y 0.0000 0.0000 0.0000  16 Cl 3.35-3.50
Cl 0.3743 0.3743 0.3743  6 Cl 2.84-2.88
Cl 0.3743 0.3743 0.8772  6 Cl 2.84-2.88
Cl 0.3743 0.8772 0.3743  6 Cl 2.84-2.88
Cl 0.7500 0.7500 0.7500  12 Cl 3.35, 4 Y 3.50
Cl 0.8772 0.3743 0.3743  6 Cl 2.84-2.88

Results
Space group ... F-43m (216)
VASP energy ... -18.80 eV/cell
Energy relative to the elements, uncorrected ... -11.9 kcal/mol of atoms
Magnetic moment ... 1.96 μB/cell

---

Entry 11:
Compound: Ga6CoRh2
Source: Alexandria
Functional: GGA-PBE
Structure: relaxed

Cell lengths 4.9649, 6.8628, 9.2447 Å; angles 90.00, 119.20, 90.00 degrees
Closest atoms and distances in Å follow each position.
Fractional positions:
Ga 0.0648 0.1640 0.4512  1 Co 2.40, 3 Rh 2.54-2.62, 1 Ga 2.62
Ga 0.0648 0.3360 0.9512  1 Co 2.40, 3 Rh 2.54-2.62, 1 Ga 2.62
Ga 0.3568 0.6813 0.4507  1 Co 2.38, 2 Rh 2.63-2.64
Ga 0.3568 0.8187 0.9507  1 Co 2.38, 2 Rh 2.63-2.64
Ga 0.3834 0.0067 0.2807  1 Co 2.35, 1 Rh 2.60
Ga 0.3834 0.4933 0.7807  1 Co 2.35, 1 Rh 2.60
Ga 0.6166 0.5067 0.2193  1 Co 2.35, 1 Rh 2.60
Ga 0.6166 0.9933 0.7193  1 Co 2.35, 1 Rh 2.60
Ga 0.6432 0.1813 0.0493  1 Co 2.38, 2 Rh 2.63-2.64
Ga 0.6432 0.3187 0.5493  1 Co 2.38, 2 Rh 2.63-2.64
Ga 0.9352 0.6640 0.0488  1 Co 2.40, 3 Rh 2.54-2.62, 1 Ga 2.62
Ga 0.9352 0.8360 0.5488  1 Co 2.40, 3 Rh 2.54-2.62, 1 Ga 2.62
Co 0.0000 0.0000 0.0000  6 Ga 2.35-2.40
Co 0.0000 0.5000 0.5000  6 Ga 2.35-2.40
Rh 0.1613 0.1267 0.7545  9 Ga 2.54-2.72
Rh 0.1613 0.3733 0.2545  9 Ga 2.54-2.72
Rh 0.8387 0.6267 0.7455  9 Ga 2.54-2.72
Rh 0.8387 0.8733 0.2455  9 Ga 2.54-2.72

Results
Space group ... P2_1/c (14)
ΔH_f (0 K) ... -0.3471 eV per atom
VASP energy ... -86.19 eV/cell
Magnetic moment ... 0.00 μB/cell

---

Entry 12:
Compound: KCd2Si
Source: Alexandria
Functional: GGA-PBE
Structure: relaxed

Cell lengths 4.7298, 4.7298, 4.5378 Å; angles 90.00, 90.00, 90.00 degrees
Closest atoms and distances in Å follow each position.
Fractional positions:
K 0.0000 0.0000 0.0000  8 Cd 3.28, 4 Si 3.34
Cd 0.0000 0.5000 0.5000  4 K 3.28, 4 Si 3.28, 4 Cd 3.34
Cd 0.5000 0.0000 0.5000  4 K 3.28, 4 Si 3.28, 4 Cd 3.34
Si 0.5000 0.5000 0.0000  8 Cd 3.28, 4 K 3.34

Results
Space group ... P4/mmm (123)
VASP energy ... -6.90 eV/cell
Energy relative to the elements, uncorrected ... 8.3 kcal/mol of atoms
Magnetic moment ... 0.00 μB/cell

---

Entry 13:
Compound: Y2TaH
Source: Alexandria
Functional: GGA-PBE
Structure: relaxed

Cell lengths 9.0997, 9.0997, 9.0997 Å; angles 20.24, 20.24, 20.24 degrees
Closest atoms and distances in Å follow each position.
Fractional positions:
Y 0.1113 0.1113 0.1113  3 H 2.37
Y 0.8887 0.8887 0.8887  3 H 2.37
Ta 0.0000 0.0000 0.0000  2 Y 2.98, 6 Ta 3.20
H 0.5000 0.5000 0.5000  6 Y 2.37

Results
Space group ... R-3m (166)
VASP energy ... -26.50 eV/cell
Magnetic moment ... 0.00 μB/cell

---

Entry 14:
Compound: Ta2TlIr
Source: Alexandria
Functional: GGA-PBE
Structure: relaxed

Cell lengths 5.0987, 5.0987, 2.9370 Å; angles 90.00, 90.00, 110.12 degrees
Closest atoms and distances in Å follow each position.
Fractional positions:
Ta 0.0000 0.5000 0.0000  4 Ta 2.92-2.94, 4 Ir 2.94, 4 Tl 2.94
Ta 0.5000 0.0000 0.0000  4 Ta 2.92-2.94, 4 Ir 2.94, 4 Tl 2.94
Tl 0.0000 0.0000 0.5000  2 Ir 2.92, 2 Tl 2.94, 8 Ta 2.94
Ir 0.5000 0.5000 0.5000  2 Tl 2.92, 2 Ir 2.94, 8 Ta 2.94

Results
Space group ... Cmmm (65)
ΔH_f (0 K) ... 0.1699 eV per atom
VASP energy ... -34.25 eV/cell
Magnetic moment ... 0.00 μB/cell

---

Entry 15:
Compound: CaTc2Se
Source: Alexandria
Functional: GGA-PBE
Structure: relaxed

Cell lengths 4.4095, 4.4095, 3.4318 Å; angles 90.00, 90.00, 90.00 degrees
Closest atoms and distances in Å follow each position.
Fractional positions:
Ca 0.0000 0.0000 0.0000  8 Tc 2.79, 4 Se 3.12
Tc 0.0000 0.5000 0.5000  4 Se 2.79, 4 Ca 2.79, 4 Tc 3.12
Tc 0.5000 0.0000 0.5000  4 Se 2.79, 4 Ca 2.79, 4 Tc 3.12
Se 0.5000 0.5000 0.0000  8 Tc 2.79, 4 Ca 3.12

Results
Space group ... P4/mmm (123)
VASP energy ... -23.92 eV/cell
Energy relative to the elements, uncorrected ... 13.3 kcal/mol of atoms
Magnetic moment ... 0.59 μB/cell

---

Entry 16:
Compound: Rb2As
Source: Alexandria
Functional: GGA-PBE
Structure: relaxed

Cell lengths 6.4139, 6.4139, 6.4139 Å; angles 145.36, 131.62, 60.86 degrees
Closest atoms and distances in Å follow each position.
Fractional positions:
Rb 0.1531 0.1531 0.0000  1 Rb 3.39, 4 As 3.66
Rb 0.8469 0.8469 0.0000  1 Rb 3.39, 4 As 3.66
As 0.5000 0.5000 0.0000  10 Rb 3.66-3.84, 2 As 3.82

Results
Space group ... Immm (71)
ΔH_f (0 K) ... -0.1268 eV per atom
VASP energy ... -6.96 eV/cell
Magnetic moment ... 0.14 μB/cell

---

Entry 17:
Compound: SmPaCu4
Source: Alexandria
Functional: GGA-PBE
Structure: relaxed

Cell lengths 5.2489, 5.2489, 5.2489 Å; angles 60.00, 60.00, 60.00 degrees
Closest atoms and distances in Å follow each position.
Fractional positions:
Sm 0.0000 0.0000 0.0000  12 Cu 3.08, 4 Pa 3.21
Pa 0.2500 0.2500 0.2500  12 Cu 3.08, 4 Sm 3.21
Cu 0.1255 0.6248 0.6248  6 Cu 2.62-2.63
Cu 0.6248 0.1255 0.6248  6 Cu 2.62-2.63
Cu 0.6248 0.6248 0.1255  6 Cu 2.62-2.63
Cu 0.6248 0.6248 0.6248  6 Cu 2.62-2.63

Results
Space group ... F-43m (216)
ΔH_f (0 K) ... 0.0113 eV per atom
VASP energy ... -30.53 eV/cell
Magnetic moment ... 0.00 μB/cell

---

Entry 18:
Compound: ZnNi2Br
Source: Alexandria
Functional: GGA-PBE
Structure: relaxed

Cell lengths 5.1911, 5.1911, 5.1911 Å; angles 139.68, 139.68, 58.34 degrees
Closest atoms and distances in Å follow each position.
Fractional positions:
Zn 0.0000 0.0000 0.0000  4 Ni 2.53
Ni 0.5000 0.5000 0.0000  4 Zn 2.53
Ni 0.7500 0.2500 0.5000  4 Br 2.53
Br 0.2500 0.7500 0.5000  4 Ni 2.53

Results
Space group ... I-4m2 (119)
VASP energy ... -12.87 eV/cell
Energy relative to the elements, uncorrected ... 9.5 kcal/mol of atoms
Magnetic moment ... 0.00 μB/cell

---

Entry 19:
Compound: HgH2Rh
Source: Alexandria
Functional: GGA-PBE
Structure: relaxed

Cell lengths 5.6541, 5.6541, 5.6541 Å; angles 31.25, 31.25, 31.25 degrees
Closest atoms and distances in Å follow each position.
Fractional positions:
Hg 0.0000 0.0000 0.0000  6 H 2.79, 6 Hg 3.05
H 0.1992 0.1992 0.1992  3 Rh 1.83, 3 H 2.05
H 0.8008 0.8008 0.8008  3 Rh 1.83, 3 H 2.05
Rh 0.5000 0.5000 0.5000  6 H 1.83

Results
Space group ... R-3m (166)
VASP energy ... -13.94 eV/cell
Magnetic moment ... 0.00 μB/cell

---

Entry 20:
Compound: CaY5Pd6
Source: Alexandria
Functional: GGA-PBE
Structure: relaxed

Cell lengths 8.6222, 8.6222, 4.9845 Å; angles 106.76, 106.76, 120.09 degrees
Closest atoms and distances in Å follow each position.
Fractional positions:
Ca 0.0000 0.0000 0.0000  8 Pd 3.11-3.15, 4 Y 3.48
Y 0.1624 0.8376 0.5000  8 Pd 2.99-3.09
Y 0.3317 0.6683 0.0000  8 Pd 3.00-3.02
Y 0.5000 0.5000 0.5000  8 Pd 2.98-3.08
Y 0.6683 0.3317 0.0000  8 Pd 3.00-3.02
Y 0.8376 0.1624 0.5000  8 Pd 2.99-3.09
Pd 0.0866 0.4314 0.2589  7 Y 2.99-3.09, 1 Ca 3.15
Pd 0.2663 0.2663 0.7663  6 Y 2.98-3.06, 2 Ca 3.11-3.12, 1 Pd 3.29
Pd 0.4314 0.0866 0.2589  7 Y 2.99-3.09, 1 Ca 3.15
Pd 0.5686 0.9134 0.7411  7 Y 2.99-3.09, 1 Ca 3.15
Pd 0.7337 0.7337 0.2337  6 Y 2.98-3.06, 2 Ca 3.11-3.12, 1 Pd 3.29
Pd 0.9134 0.5686 0.7411  7 Y 2.99-3.09, 1 Ca 3.15

Results
Space group ... C2/m (12)
ΔH_f (0 K) ... -0.8552 eV per atom
VASP energy ... -75.74 eV/cell
Magnetic moment ... 0.00 μB/cell